Entry 1:
A PBEsol-optimized structure of Tc2PbBr, computed with SCAN.

Geometry as POSCAR:
```
Tc2PbBr
1.0
3.013 0.000 0.000
0.000 3.013 0.000
0.000 0.000 8.683
Pb Tc Br
1 2 1
direct
0.500 0.500 0.798
0.000 0.000 0.053
0.500 0.500 0.219
0.000 0.000 0.430
```

Output
Energy relative to the elements, uncorrected   0.30 eV/atom
Distance to the lowest polymorph of the same formula   0.0 meV/atom
Volume   19.71 A^3/atom
Uncorrected energy   -41.0413 eV/atom
SG   P4mm

Entry 2:
A PBEsol-optimized structure of Tc2PbBr, computed with SCAN.

Geometry as POSCAR:
```
Tc2PbBr
1.0
3.018 0.000 0.000
0.000 4.556 0.000
0.000 0.000 5.258
Pb Tc Br
1 2 1
direct
0.000 0.500 0.500
0.000 0.000 0.000
0.500 0.000 0.500
0.500 0.500 0.000
```

Output
Energy relative to the elements, uncorrected   1.05 eV/atom
Distance to the lowest polymorph of the same formula   753.5 meV/atom
Volume   18.08 A^3/atom
Uncorrected energy   -40.2877 eV/atom
SG   Pmmm

Entry 3:
A PBEsol-optimized structure of TcPbBr, computed with SCAN.

Geometry as POSCAR:
```
TcPbBr
1.0
-1.882 2.688 -0.463
-3.013 -2.508 -2.312
-0.421 0.482 4.506
Pb Tc Br
1 1 1
direct
0.000 0.333 0.667
0.500 0.667 0.333
0.500 0.000 0.000
```

Output
Energy relative to the elements, uncorrected   0.70 eV/atom
Distance to the lowest polymorph of the same formula   304.7 meV/atom
Volume   19.81 A^3/atom
Uncorrected energy   -42.7333 eV/atom
SG   P-6m2

What is the formula in the first record? Tc2PbBr

uncorrected energy of number 2 (Tc2PbBr)? -40.2877 eV/atom

Look up the volume of the second one. 18.08 A^3/atom